Entry 1:
{
  "formula": "RbCrCu2H",
  "functional": "meta-GGA SCAN",
  "state": "PBEsol geometry",
  "vol_a3_per_atom": 18.66,
  "e_tot_ev_per_atom": -13.9104,
  "total_magnetization_mub_per_fu": 4.044,
  "relative_energy_mev_per_atom": 0.0,
  "n_ef_per_ev_cell": 0.86,
  "lattice": [[5.0739, 0.0000, 0.0000], [0.0000, 5.0739, 0.0000], [0.0000, 0.0000, 3.6233]],
  "species": ["Rb", "Cr", "Cu", "Cu", "H"],
  "fractional_positions": [[0.0000, 0.0000, 0.0000], [0.5000, 0.5000, 0.5000], [0.0000, 0.5000, 0.5000], [0.5000, 0.0000, 0.5000], [0.5000, 0.5000, 0.0000]]
}

=====

Entry 2:
{
  "formula": "YMo2W2",
  "functional": "meta-GGA SCAN",
  "state": "PBEsol geometry",
  "vol_a3_per_atom": 19.61,
  "e_tot_ev_per_atom": -47.0058,
  "total_magnetization_mub_per_fu": 0.000,
  "e_form_mev_per_atom": 392.1,
  "n_ef_per_ev_cell": 4.22,
  "lattice": [[-2.1639, 2.1639, 5.2338], [2.1639, -2.1639, 5.2338], [2.1639, 2.1639, -5.2338]],
  "species": ["Y", "Mo", "Mo", "W", "W"],
  "fractional_positions": [[0.0000, 0.0000, 0.0000], [0.2500, 0.7500, 0.5000], [0.7500, 0.2500, 0.5000], [0.3781, 0.3781, 0.0000], [0.6219, 0.6219, 0.0000]]
}

=====

Entry 3:
{
  "formula": "Hf3MnTl",
  "functional": "meta-GGA SCAN",
  "state": "PBEsol geometry",
  "vol_a3_per_atom": 27.97,
  "e_tot_ev_per_atom": -54.4121,
  "total_magnetization_mub_per_fu": 4.210,
  "e_form_mev_per_atom": 1314.4,
  "n_ef_per_ev_cell": 3.19,
  "lattice": [[5.1905, 0.0000, 0.0000], [0.0000, 5.1905, 0.0000], [0.0000, 0.0000, 5.1905]],
  "species": ["Hf", "Hf", "Hf", "Mn", "Tl"],
  "fractional_positions": [[0.0000, 0.0000, 0.5000], [0.0000, 0.5000, 0.0000], [0.5000, 0.0000, 0.0000], [0.5000, 0.5000, 0.5000], [0.0000, 0.0000, 0.0000]]
}

=====

Entry 4:
{
  "formula": "Na2RuPbW",
  "functional": "meta-GGA SCAN",
  "state": "PBEsol geometry",
  "vol_a3_per_atom": 27.56,
  "e_tot_ev_per_atom": -36.3422,
  "total_magnetization_mub_per_fu": 1.329,
  "e_form_mev_per_atom": 1402.9,
  "n_ef_per_ev_cell": 3.67,
  "lattice": [[5.5608, 0.0000, 0.0000], [0.0000, 5.5608, 0.0000], [0.0000, 0.0000, 4.4565]],
  "species": ["Na", "Na", "Ru", "Pb", "W"],
  "fractional_positions": [[0.0000, 0.5000, 0.0000], [0.5000, 0.0000, 0.0000], [0.0000, 0.0000, 0.5000], [0.5000, 0.5000, 0.5000], [0.0000, 0.0000, 0.0000]]
}